Computed, not measured: a relaxed structure of YMnCo2N at the PBE-GGA level of DFT.

```
5
Lattice="-2.0241 -0.7569 3.3188 -3.5268 -3.3235 -2.9089 2.3410 -3.1126 0.7179" Properties=species:S:1:pos:R:3 pbc="T T T"
Co 1.1705 -1.5563 0.3589
Co -1.0120 -0.3784 1.6594
N -1.6049 -3.5965 0.5639
Mn 0.0000 0.0000 0.0000
Y -1.7634 -1.6617 -1.4545
```

Calculated volume: 17.7 A^3/atom
Crystal system: tetragonal
ΔE_f (raw): 1.289 eV/atom
VASP energy: -6.35 eV per atom
Fermi-level density of states: 7.91 states/eV/f.u.